Record 1
A plane-wave DFT calculation with PBE-GGA was carried out for a relaxed structure of Pm6NdSn3.

Unit cell a=9.4319 b=9.4319 c=7.8430 alpha=90.00 beta=90.00 gamma=108.74
With the nearest neighbours (Å) after each atom.
Positions (direct):
Pm (0.0484, 0.9516, 0.5000)  4 Sn 3.29-3.33, 1 Nd 3.57, 2 Pm 3.65
Pm (0.0646, 0.4561, 0.0112)  3 Sn 3.19-3.28, 1 Nd 3.33, 2 Pm 3.44-3.51
Pm (0.2538, 0.3266, 0.3295)  4 Sn 3.22-3.32, 2 Pm 3.51-3.56
Pm (0.2866, 0.7134, 0.3444)  3 Sn 3.23-3.33, 4 Pm 3.44-3.56
Pm (0.3266, 0.2538, 0.8295)  4 Sn 3.22-3.32, 2 Pm 3.51-3.56
Pm (0.4561, 0.0646, 0.5112)  3 Sn 3.19-3.28, 1 Nd 3.33, 2 Pm 3.44-3.51
Pm (0.5439, 0.9354, 0.0112)  3 Sn 3.19-3.28, 1 Nd 3.33, 2 Pm 3.44-3.51
Pm (0.6734, 0.7462, 0.3295)  4 Sn 3.22-3.32, 2 Pm 3.51-3.56
Pm (0.7134, 0.2866, 0.8444)  3 Sn 3.23-3.33, 4 Pm 3.44-3.56
Pm (0.7462, 0.6734, 0.8295)  4 Sn 3.22-3.32, 2 Pm 3.51-3.56
Pm (0.9354, 0.5439, 0.5112)  3 Sn 3.19-3.28, 1 Nd 3.33, 2 Pm 3.44-3.51
Pm (0.9516, 0.0484, 0.0000)  4 Sn 3.29-3.33, 1 Nd 3.57, 2 Pm 3.65
Nd (0.2130, 0.7870, 0.8227)  3 Pm 3.33-3.57, 3 Sn 3.35-3.66
Nd (0.7870, 0.2130, 0.3227)  3 Pm 3.33-3.57, 3 Sn 3.35-3.66
Sn (0.0215, 0.2658, 0.6548)  1 Sn 3.16, 7 Pm 3.19-3.33, 1 Nd 3.35
Sn (0.2658, 0.0215, 0.1548)  1 Sn 3.16, 7 Pm 3.19-3.33, 1 Nd 3.35
Sn (0.4254, 0.5746, 0.0349)  7 Pm 3.23-3.32
Sn (0.5746, 0.4254, 0.5349)  7 Pm 3.23-3.32
Sn (0.7342, 0.9785, 0.6548)  1 Sn 3.16, 7 Pm 3.19-3.33, 1 Nd 3.35
Sn (0.9785, 0.7342, 0.1548)  1 Sn 3.16, 7 Pm 3.19-3.33, 1 Nd 3.35

Output
- N(E_F): 12.570 states/eV/f.u.
- Calculated formation energy: -0.3754 eV/atom
- SG: No. 36

Record 2
A plane-wave DFT calculation with PBE-GGA was carried out for a relaxed structure of Th2OsI2.

Unit cell a=4.1935 b=4.1935 c=12.4593 alpha=100.71 beta=100.71 gamma=60.00
With the nearest neighbours (Å) after each atom.
Positions (direct):
Th (0.2128, 0.2128, 0.1256)  3 Os 2.86
Th (0.7872, 0.7872, 0.8744)  3 Os 2.86
Os (0.5000, 0.5000, 0.0000)  6 Th 2.86
I (0.0500, 0.0500, 0.6829)  3 Th 3.36
I (0.9500, 0.9500, 0.3171)  3 Th 3.36

Output
- N(E_F): 0.861 states/eV/f.u.
- SG: No. 12
- Formation energy (no corrections): -0.91 eV/atom

Record 3
A plane-wave DFT calculation with PBE-GGA was carried out for a relaxed structure of Sr2CePaS6.

Unit cell a=7.5242 b=7.5242 c=5.4238 alpha=90.00 beta=90.00 gamma=90.00
With the nearest neighbours (Å) after each atom.
Positions (direct):
Sr (0.0000, 0.5000, 0.0000)  4 S 3.07
Sr (0.5000, 0.0000, 0.0000)  4 S 3.07
Ce (0.0000, 0.0000, 0.6400)  6 S 2.64-2.79
Pa (0.5000, 0.5000, 0.6655)  6 S 2.62-2.79
S (0.0000, 0.0000, 0.1538)  2 Ce 2.64-2.79
S (0.2556, 0.2556, 0.7181)  1 Pa 2.62, 1 Ce 2.75
S (0.2556, 0.7444, 0.7181)  1 Pa 2.62, 1 Ce 2.75
S (0.5000, 0.5000, 0.1801)  2 Pa 2.63-2.79
S (0.7444, 0.2556, 0.7181)  1 Pa 2.62, 1 Ce 2.75
S (0.7444, 0.7444, 0.7181)  1 Pa 2.62, 1 Ce 2.75

Output
- N(E_F): 7.628 states/eV/f.u.
- SG: No. 99
- Formation energy (no corrections): -1.75 eV/atom

Record 4
A plane-wave DFT calculation with PBE-GGA was carried out for a relaxed structure of B3SO.

Unit cell a=3.6715 b=3.6715 c=3.6715 alpha=90.00 beta=90.00 gamma=90.00
With the nearest neighbours (Å) after each atom.
Positions (direct):
B (0.0000, 0.0000, 0.5000)  2 O 1.84
B (0.0000, 0.5000, 0.0000)  2 O 1.84
B (0.5000, 0.0000, 0.0000)  2 O 1.84
S (0.5000, 0.5000, 0.5000)  12 B 2.60
O (0.0000, 0.0000, 0.0000)  6 B 1.84

Output
- N(E_F): 3.765 states/eV/f.u.
- Energy relative to the lowest polymorph listed for this composition: 0 meV/atom
- SG: No. 221
- Formation energy (no corrections): 1.91 eV/atom